--- A ---
Compound: AlCuTc
Source: Alexandria via LeMat-Bulk
Functional: PBE-GGA
Structure: optimized geometry

POSCAR file:
```
AlCuTc
1.0
2.7456 0.0000 0.0000
-1.3728 2.3778 0.0000
0.0000 0.0000 6.4104
Al Cu Tc
1 1 1
Direct
0.0000 0.0000 0.0000 Al
0.3333 0.6667 0.3206 Cu
0.6667 0.3333 0.6632 Tc
```

Summary:
SG   P3m1
Magnetic moment   0.00 μB/cell

---

--- B ---
Compound: AlCuTc
Source: Alexandria via LeMat-Bulk
Functional: PBE-GGA
Structure: optimized geometry

POSCAR file:
```
AlCuTc
1.0
0.0000 2.8624 2.8624
2.8624 0.0000 2.8624
2.8624 2.8624 0.0000
Al Cu Tc
1 1 1
Direct
0.0000 0.0000 0.0000 Al
0.7500 0.7500 0.7500 Cu
0.5000 0.5000 0.5000 Tc
```

Summary:
SG   F-43m
Magnetic moment   1.01 μB/cell

---

The calculated energies rank the structures as follows, beginning with the most stable: A, B.

---

--- A ---
Compound: Al2CuTc
Source: Alexandria via LeMat-Bulk
Functional: PBE-GGA
Structure: optimized geometry

POSCAR file:
```
Al2CuTc
1.0
-1.7923 1.7923 4.2872
1.7923 -1.7923 4.2872
1.7923 1.7923 -4.2872
Al Cu Tc
2 1 1
Direct
0.0000 0.0000 0.0000 Al
0.7500 0.2500 0.5000 Al
0.5000 0.5000 0.0000 Cu
0.2500 0.7500 0.5000 Tc
```

Summary:
SG   I-4m2
Magnetic moment   0.00 μB/cell

---

--- B ---
Compound: Al2CuTc
Source: Alexandria via LeMat-Bulk
Functional: PBE-GGA
Structure: optimized geometry

POSCAR file:
```
Al2CuTc
1.0
2.7116 0.0000 0.0000
0.0000 2.7116 0.0000
0.0000 0.0000 7.8330
Al Cu Tc
2 1 1
Direct
0.0000 0.0000 0.0000 Al
0.5000 0.5000 0.2809 Al
0.0000 0.0000 0.5072 Cu
0.5000 0.5000 0.7530 Tc
```

Summary:
SG   P4mm
Magnetic moment   0.00 μB/cell

---

The calculated energies rank the structures as follows, beginning with the most stable: A, B.

---

--- A ---
Compound: Al2Cu2Tc
Source: Alexandria via LeMat-Bulk
Functional: PBE-GGA
Structure: optimized geometry

POSCAR file:
```
Al2Cu2Tc
1.0
7.0426 0.0000 0.0000
0.0000 7.0426 0.0000
0.0000 0.0000 2.7110
Al Cu Tc
4 4 2
Direct
0.1775 0.3225 0.0000 Al
0.3225 0.8225 0.0000 Al
0.6775 0.1775 0.0000 Al
0.8225 0.6775 0.0000 Al
0.1214 0.6214 0.5000 Cu
0.3786 0.1214 0.5000 Cu
0.6214 0.8786 0.5000 Cu
0.8786 0.3786 0.5000 Cu
0.0000 0.0000 0.5000 Tc
0.5000 0.5000 0.5000 Tc
```

Summary:
SG   P4/mbm
Magnetic moment   0.00 μB/cell

---

--- B ---
Compound: Al2Cu2Tc
Source: Alexandria via LeMat-Bulk
Functional: PBE-GGA
Structure: optimized geometry

POSCAR file:
```
Al2Cu2Tc
1.0
-1.6769 1.6769 6.3044
1.6769 -1.6769 6.3044
1.6769 1.6769 -6.3044
Al Cu Tc
2 2 1
Direct
0.0992 0.0992 0.0000 Al
0.9008 0.9008 0.0000 Al
0.2500 0.7500 0.5000 Cu
0.7500 0.2500 0.5000 Cu
0.5000 0.5000 0.0000 Tc
```

Summary:
SG   I4/mmm
Magnetic moment   0.57 μB/cell

---

The calculated energies rank the structures as follows, beginning with the most stable: A, B.